# IrPtCl2, optimized geometry, DFT PBE
data_IrPtCl2
_chemical_formula_sum 'Ir1 Pt1 Cl2'
_symmetry_space_group_name_H-M 'P 1'
_symmetry_Int_Tables_number 1
_cell_length_a 3.689
_cell_length_b 3.689
_cell_length_c 8.214
_cell_angle_alpha 98.06
_cell_angle_beta 98.06
_cell_angle_gamma 48.35
loop_
_symmetry_equiv_pos_as_xyz
'x,y,z'
loop_
_atom_site_label
_atom_site_type_symbol
_atom_site_fract_x
_atom_site_fract_y
_atom_site_fract_z
Ir1 Ir 0.000 0.000 0.000
Pt1 Pt 0.262 0.262 0.800
Cl1 Cl 0.530 0.530 0.606
Cl2 Cl 0.739 0.739 0.174
# Formation energy without anion corrections: 0.2 eV/f.u.
# SG: No. 8